Entry 1:
Below is Ba3TlCr after structural relaxation, with properties calculated at the PBEsol level.

Cell lengths 6.533, 6.533, 6.533 Å; angles 90.00, 90.00, 90.00 degrees
Space group Pm-3m (No. 221)
Symmetry-distinct sites (fractional):
1 Ba 0.000 0.000 0.500 x3
2 Tl 0.000 0.000 0.000 x1
3 Cr 0.500 0.500 0.500 x1

Properties
The formation energy from the elements comes out at 60.1 kJ per mole of atoms. The total moment comes out at 5.3 μB/cell.



Entry 2:
Below is BaTl2Cr after structural relaxation, with properties calculated at the PBEsol level.

Cell lengths 3.664, 3.664, 7.933 Å; angles 90.00, 90.00, 90.00 degrees
Space group P4/mmm (No. 123)
Symmetry-distinct sites (fractional):
1 Ba 0.000 0.000 0.000 x1
2 Tl 0.500 0.500 0.306 x2
3 Cr 0.000 0.000 0.500 x1

Properties
The formation energy from the elements comes out at 14.5 kJ per mole of atoms. The total moment comes out at 4.1 μB/cell.



Entry 3:
Below is BaTlCr after structural relaxation, with properties calculated at the PBEsol level.

Cell lengths 5.0433, 5.0433, 4.1702 Å; angles 90.00, 90.00, 120.00 degrees
Space group P-6m2 (No. 187)
Symmetry-distinct sites (fractional):
1 Ba 0.0000 0.0000 0.0000 x1
2 Tl 0.6667 0.3333 0.5000 x1
3 Cr 0.3333 0.6667 0.5000 x1

Properties
The formation energy from the elements comes out at 36.3 kJ per mole of atoms. The distance to the lowest polymorph of the same formula is 0.000 eV per formula unit. The total moment comes out at 4.2 μB/cell.